1.
A plane-wave DFT calculation with PBE was carried out for NaSr4La3Se8 after structural relaxation.

It has space group R-3m (No. 166, hexagonal axes), with a = 8.7391 Å, b = 8.7391 Å, c = 21.5185 Å, α = 90.00°, β = 90.00° and γ = 120.00°. The asymmetric unit holds Na at (0.0000, 0.0000, 0.0000), Sr at (0.0000, 0.0000, 0.5000), Sr at (0.0000, 0.5000, 0.5000), La at (0.0000, 0.5000, 0.0000), Se at (0.0000, 0.0000, 0.2519) and Se at (0.0030, 0.5015, 0.2526).

For the total energy, the calculation gives -5.1163 eV/atom. As for the formation energy (no corrections): -1.95 eV per atom. The volume comes out at 1423 Å³/cell. The calculation puts the density of states at the Fermi level at 16.5 states/eV/cell.

---

2.
A plane-wave DFT calculation with PBE was carried out for Ba2Sn5Pt3 after structural relaxation.

It has space group P-4m2 (No. 115), with a = 4.968 Å, b = 4.968 Å, c = 11.160 Å, α = 90.00°, β = 90.00° and γ = 90.00°. The asymmetric unit holds Ba at (0.000, 0.500, 0.224), Sn at (0.000, 0.000, 0.500), Sn at (0.000, 0.500, 0.664), Sn at (0.500, 0.500, 0.000), Sn at (0.500, 0.500, 0.500), Pt at (0.000, 0.000, 0.000) and Pt at (0.000, 0.500, 0.899).

For the total energy, the calculation gives -4.7085 eV/atom. The volume comes out at 275 Å³/cell. The calculation puts the density of states at the Fermi level at 5.0 states/eV/cell. Its formation energy is -0.510 eV/atom.

---

3.
A plane-wave DFT calculation with PBE was carried out for Pr6Zn2Sn after structural relaxation.

It has space group Immm (No. 71), with a = 9.690 Å, b = 9.974 Å, c = 11.390 Å, α = 90.00°, β = 90.00° and γ = 90.00°. The asymmetric unit holds Pr at (0.000, 0.200, 0.228), Pr at (0.211, 0.305, 0.500), Pr at (0.212, 0.500, 0.181), Zn at (0.000, 0.364, 0.000), Zn at (0.000, 0.500, 0.381), Sn at (0.000, 0.000, 0.000) and Sn at (0.000, 0.000, 0.500).

For the total energy, the calculation gives -4.1857 eV/atom. The volume comes out at 1101 Å³/cell. The calculation puts the density of states at the Fermi level at 49.4 states/eV/cell. Its formation energy is -0.271 eV/atom.

---

4.
A plane-wave DFT calculation with PBE was carried out for Zr2NiSe after structural relaxation.

It has space group Amm2 (No. 38), with a = 3.713 Å, b = 3.745 Å, c = 10.280 Å, α = 90.00°, β = 90.00° and γ = 90.00°. The asymmetric unit holds Zr at (0.000, 0.000, 0.000), Zr at (0.500, 0.000, 0.306), Ni at (0.500, 0.000, 0.574) and Se at (0.000, 0.000, 0.723).

For the total energy, the calculation gives -7.3464 eV/atom. As for the formation energy (no corrections): -0.76 eV per atom. The volume comes out at 143 Å³/cell. The calculation puts the density of states at the Fermi level at 5.8 states/eV/cell.

---

5.
A plane-wave DFT calculation with PBE was carried out for HoLuFeRh after structural relaxation.

It has space group F-43m (No. 216), with a = 6.667 Å, b = 6.667 Å, c = 6.667 Å, α = 90.00°, β = 90.00° and γ = 90.00°. The asymmetric unit holds Ho at (0.000, 0.000, 0.000), Lu at (0.000, 0.000, 0.500), Fe at (0.250, 0.250, 0.750) and Rh at (0.250, 0.250, 0.250).

For the total energy, the calculation gives -6.6046 eV/atom. The volume comes out at 296 Å³/cell. The calculation puts the density of states at the Fermi level at 21.7 states/eV/cell. Its formation energy is -0.376 eV/atom.

---

6.
A plane-wave DFT calculation with PBE was carried out for MgTeMo after structural relaxation.

It has space group I4mm (No. 107), with a = 3.494 Å, b = 3.494 Å, c = 9.332 Å, α = 90.00°, β = 90.00° and γ = 90.00°. The asymmetric unit holds Mg at (0.000, 0.000, 0.000), Te at (0.000, 0.000, 0.313) and Mo at (0.000, 0.000, 0.675).

For the total energy, the calculation gives -5.1381 eV/atom. As for the formation energy (no corrections): 0.05 eV per atom. The volume comes out at 114 Å³/cell. The calculation puts the density of states at the Fermi level at 0.7 states/eV/cell.